K2SnI2Br2, relaxed, DFT PBE-GGA; density of states at the Fermi level = 0.0 states/eV/cell; SG = C2/m, No. 12; calculated volume = 42.03 A^3/atom; E_form (uncorrected) = -1.18 eV per atom
1.0
8.409 -2.318 0.000
8.409 2.318 0.000
-3.882 0.000 7.547
K Sn I Br
2 1 2 2
Direct
0.158 0.158 0.107 K
0.842 0.842 0.893 K
0.000 0.000 0.500 Sn
0.474 0.474 0.741 I
0.526 0.526 0.259 I
0.193 0.193 0.750 Br
0.807 0.807 0.250 Br

---

Mg2AlTc, relaxed, DFT PBE-GGA; density of states at the Fermi level = 1.8 states/eV/cell; ΔE_f = 0.028 eV per atom; SG = Pm, No. 6; calculated volume = 16.96 A^3/atom
1.0
2.808 0.000 0.000
0.000 4.367 0.000
-1.334 0.000 5.530
Mg Al Tc
2 1 1
Direct
0.000 0.000 0.000 Mg
0.422 0.500 0.736 Mg
0.945 0.000 0.458 Al
0.516 0.500 0.259 Tc

---

KLaCr2, relaxed, DFT PBE-GGA; density of states at the Fermi level = 6.7 states/eV/cell; excess energy over the best structure of this formula in the dataset = 730.2 meV per atom; ΔE_f = 1.340 eV per atom; SG = I-42d, No. 122; calculated volume = 38.11 A^3/atom
1.0
-2.764 2.764 9.976
2.764 -2.764 9.976
2.764 2.764 -9.976
K La Cr
2 2 4
Direct
0.000 0.000 0.000 K
0.750 0.250 0.500 K
0.250 0.750 0.500 La
0.500 0.500 0.000 La
0.372 0.125 0.747 Cr
0.375 0.628 0.753 Cr
0.378 0.625 0.253 Cr
0.875 0.622 0.247 Cr

---

Be3CdHg, relaxed, DFT PBE-GGA; density of states at the Fermi level = 1.8 states/eV/cell; excess energy over the best structure of this formula in the dataset = 163.3 meV per atom; ΔE_f = 1.026 eV per atom; SG = Pm-3m, No. 221; calculated volume = 18.48 A^3/atom
1.0
4.521 0.000 0.000
0.000 4.521 0.000
0.000 0.000 4.521
Be Cd Hg
3 1 1
Direct
0.000 0.000 0.500 Be
0.000 0.500 0.000 Be
0.500 0.000 0.000 Be
0.000 0.000 0.000 Cd
0.500 0.500 0.500 Hg

---

HfAlN2O, relaxed, DFT PBE-GGA; density of states at the Fermi level = 3.5 states/eV/cell; SG = P4/mmm, No. 123; calculated volume = 9.94 A^3/atom; E_form (uncorrected) = -1.01 eV per atom
1.0
3.709 0.000 0.000
0.000 3.709 0.000
0.000 0.000 3.612
Hf Al N O
1 1 2 1
Direct
0.000 0.000 0.000 Hf
0.500 0.500 0.500 Al
0.000 0.500 0.500 N
0.500 0.000 0.500 N
0.500 0.500 0.000 O

---

Sc2SnP, relaxed, DFT PBE-GGA; density of states at the Fermi level = 4.1 states/eV/cell; excess energy over the best structure of this formula in the dataset = 363.5 meV per atom; ΔE_f = -0.691 eV per atom; SG = I-42d, No. 122; calculated volume = 22.08 A^3/atom
1.0
-3.706 3.706 3.216
3.706 -3.706 3.216
3.706 3.706 -3.216
Sc Sn P
4 2 2
Direct
0.085 0.625 0.960 Sc
0.375 0.335 0.460 Sc
0.665 0.125 0.040 Sc
0.875 0.915 0.540 Sc
0.250 0.750 0.500 Sn
0.500 0.500 0.000 Sn
0.000 0.000 0.000 P
0.750 0.250 0.500 P

---

Ce3Al4Au4, relaxed, DFT PBE-GGA; density of states at the Fermi level = 18.8 states/eV/cell; ΔE_f = -0.602 eV per atom; SG = Immm, No. 71; calculated volume = 21.94 A^3/atom
1.0
-1.988 2.272 13.355
1.988 -2.272 13.355
1.988 2.272 -13.355
Ce Al Au
3 4 4
Direct
0.000 0.000 0.000 Ce
0.353 0.853 0.500 Ce
0.647 0.147 0.500 Ce
0.193 0.693 0.500 Al
0.451 0.451 0.000 Al
0.549 0.549 0.000 Al
0.807 0.307 0.500 Al
0.096 0.596 0.500 Au
0.257 0.257 0.000 Au
0.743 0.743 0.000 Au
0.904 0.404 0.500 Au

---

CrFePb2, relaxed, DFT PBE-GGA; density of states at the Fermi level = 3.9 states/eV/cell; excess energy over the best structure of this formula in the dataset = 206.8 meV per atom; ΔE_f = 0.667 eV per atom; SG = Immm, No. 71; calculated volume = 20.84 A^3/atom
1.0
-2.129 2.520 3.884
2.129 -2.520 3.884
2.129 2.520 -3.884
Cr Fe Pb
1 1 2
Direct
0.000 0.000 0.000 Cr
0.500 0.500 0.000 Fe
0.256 0.756 0.500 Pb
0.744 0.244 0.500 Pb

---

AcTmMg2Hg4, relaxed, DFT PBE-GGA; density of states at the Fermi level = 3.0 states/eV/cell; ΔE_f = -0.426 eV per atom; SG = R-3m, No. 166; calculated volume = 25.23 A^3/atom
1.0
2.555 1.475 8.928
-2.555 1.475 8.928
0.000 -2.950 8.928
Ac Tm Mg Hg
1 1 2 4
Direct
0.000 0.000 0.000 Ac
0.500 0.500 0.500 Tm
0.243 0.243 0.243 Mg
0.757 0.757 0.757 Mg
0.128 0.128 0.128 Hg
0.387 0.387 0.387 Hg
0.613 0.613 0.613 Hg
0.872 0.872 0.872 Hg

---

ScBeRh, relaxed, DFT PBE-GGA; density of states at the Fermi level = 2.0 states/eV/cell; excess energy over the best structure of this formula in the dataset = 330.1 meV per atom; ΔE_f = -0.327 eV per atom; SG = F-43m, No. 216; calculated volume = 15.51 A^3/atom
1.0
0.000 2.855 2.855
2.855 0.000 2.855
2.855 2.855 0.000
Sc Be Rh
1 1 1
Direct
0.000 0.000 0.000 Sc
0.750 0.750 0.750 Be
0.500 0.500 0.500 Rh

---

Rb2ReW, relaxed, DFT PBE-GGA; density of states at the Fermi level = 11.0 states/eV/cell; excess energy over the best structure of this formula in the dataset = 0.0 meV per atom; ΔE_f = 1.977 eV per atom; SG = I-42d, No. 122; calculated volume = 52.33 A^3/atom
1.0
-6.628 6.628 2.382
6.628 -6.628 2.382
6.628 6.628 -2.382
Rb Re W
4 2 2
Direct
0.375 0.043 0.168 Rb
0.793 0.625 0.668 Rb
0.875 0.207 0.832 Rb
0.957 0.125 0.332 Rb
0.250 0.750 0.500 Re
0.500 0.500 0.000 Re
0.000 0.000 0.000 W
0.750 0.250 0.500 W

---

Ca2Al3Rh, relaxed, DFT PBE-GGA; density of states at the Fermi level = 3.5 states/eV/cell; ΔE_f = -0.520 eV per atom; SG = C2/m, No. 12; calculated volume = 19.85 A^3/atom
1.0
4.749 -2.767 0.000
4.749 2.767 0.000
-3.141 0.000 4.531
Ca Al Rh
2 3 1
Direct
0.127 0.127 0.373 Ca
0.873 0.873 0.627 Ca
0.000 0.500 0.000 Al
0.500 0.000 0.000 Al
0.500 0.500 0.500 Al
0.500 0.500 0.000 Rh

---

Tl2AgP3Pt12, relaxed, DFT PBE-GGA; density of states at the Fermi level = 8.8 states/eV/cell; ΔE_f = -0.072 eV per atom; SG = R-3m, No. 166; calculated volume = 18.57 A^3/atom
1.0
4.176 2.411 5.534
-4.176 2.411 5.534
0.000 -4.822 5.534
Tl Ag P Pt
2 1 3 12
Direct
0.100 0.100 0.100 Tl
0.900 0.900 0.900 Tl
0.500 0.500 0.500 Ag
0.000 0.500 0.500 P
0.500 0.000 0.500 P
0.500 0.500 0.000 P
0.110 0.648 0.648 Pt
0.148 0.148 0.606 Pt
0.148 0.606 0.148 Pt
0.352 0.352 0.890 Pt
0.352 0.890 0.352 Pt
0.394 0.852 0.852 Pt
0.606 0.148 0.148 Pt
0.648 0.110 0.648 Pt
0.648 0.648 0.110 Pt
0.852 0.394 0.852 Pt
0.852 0.852 0.394 Pt
0.890 0.352 0.352 Pt

---

Nd2DyBr, relaxed, DFT PBE-GGA; density of states at the Fermi level = 3.5 states/eV/cell; excess energy over the best structure of this formula in the dataset = 77.7 meV per atom; SG = P4/mmm, No. 123; calculated volume = 31.40 A^3/atom; E_form (uncorrected) = -0.47 eV per atom
1.0
3.599 0.000 0.000
0.000 3.599 0.000
0.000 0.000 9.694
Nd Dy Br
2 1 1
Direct
0.000 0.000 0.236 Nd
0.000 0.000 0.764 Nd
0.500 0.500 0.500 Dy
0.500 0.500 0.000 Br

---

Zn2TeIr, relaxed, DFT PBE-GGA; density of states at the Fermi level = 1.5 states/eV/cell; SG = Pmmm, No. 47; calculated volume = 17.78 A^3/atom; E_form (uncorrected) = 0.10 eV per atom
1.0
3.038 0.000 0.000
0.000 3.759 0.000
0.000 0.000 6.230
Zn Te Ir
2 1 1
Direct
0.000 0.000 0.195 Zn
0.000 0.000 0.805 Zn
0.500 0.500 0.500 Te
0.500 0.500 0.000 Ir

---

CeCdNi, relaxed, DFT PBE-GGA; density of states at the Fermi level = 5.0 states/eV/cell; ΔE_f = -0.172 eV per atom; SG = I4mm, No. 107; calculated volume = 20.15 A^3/atom
1.0
-1.593 1.593 5.959
1.593 -1.593 5.959
1.593 1.593 -5.959
Ce Cd Ni
1 1 1
Direct
0.000 0.000 0.000 Ce
0.282 0.282 0.000 Cd
0.644 0.644 0.000 Ni

---

SnPbS2, relaxed, DFT PBE-GGA; excess energy over the best structure of this formula in the dataset = 0.0 meV per atom; SG = Pmc2_1, No. 26; calculated volume = 26.21 A^3/atom; E_form (uncorrected) = -0.48 eV per atom
1.0
4.110 0.000 0.000
0.000 4.374 0.000
0.000 0.000 11.664
Sn Pb S
2 2 4
Direct
0.000 0.114 0.000 Sn
0.000 0.886 0.500 Sn
0.500 0.377 0.245 Pb
0.500 0.623 0.745 Pb
0.000 0.190 0.779 S
0.000 0.810 0.279 S
0.500 0.281 0.484 S
0.500 0.719 0.984 S

---

Ba2EuIr, relaxed, DFT PBE-GGA; density of states at the Fermi level = 2.7 states/eV/cell; ΔE_f = 0.123 eV per atom; SG = R-3m, No. 166; calculated volume = 48.56 A^3/atom
1.0
2.184 1.261 11.751
-2.184 1.261 11.751
0.000 -2.522 11.751
Ba Eu Ir
2 1 1
Direct
0.118 0.118 0.118 Ba
0.882 0.882 0.882 Ba
0.000 0.000 0.000 Eu
0.500 0.500 0.500 Ir

---

Rb2CdHgH6, relaxed, DFT PBE-GGA; density of states at the Fermi level = 0.2 states/eV/cell; raw total energy = -0.1698 Ry per atom; SG = I4/mmm, No. 139; calculated volume = 15.98 A^3/atom
1.0
-3.134 3.134 4.067
3.134 -3.134 4.067
3.134 3.134 -4.067
Rb Cd Hg H
2 1 1 6
Direct
0.250 0.750 0.500 Rb
0.750 0.250 0.500 Rb
0.000 0.000 0.000 Cd
0.500 0.500 0.000 Hg
0.222 0.222 0.445 H
0.222 0.778 0.000 H
0.286 0.286 0.000 H
0.714 0.714 0.000 H
0.778 0.222 0.000 H
0.778 0.778 0.555 H

---

BaSbRh2I, relaxed, DFT PBE-GGA; density of states at the Fermi level = 6.3 states/eV/cell; SG = P4/mmm, No. 123; calculated volume = 33.71 A^3/atom; E_form (uncorrected) = 1.22 eV per atom
1.0
5.152 0.000 0.000
0.000 5.152 0.000
0.000 0.000 6.349
Ba Sb Rh I
1 1 2 1
Direct
0.000 0.000 0.000 Ba
0.500 0.500 0.500 Sb
0.000 0.500 0.000 Rh
0.500 0.000 0.000 Rh
0.000 0.000 0.500 I